No. 1
Compound: YGa2Au
Source: the Alexandria database
Functional: PBE-GGA
Structure: optimized geometry

Cell: 5.6046 5.6046 5.6046 Å, 45.66 45.66 45.66°
Positions (direct):
Y1 0.0000 0.0000 0.0000
Ga1 0.2227 0.2227 0.2227
Ga2 0.7773 0.7773 0.7773
Au1 0.5000 0.5000 0.5000

Crystal system = trigonal
Space-group type = R-3m (166)

---

No. 2
Compound: YGa4Au2
Source: the Alexandria database
Functional: PBE-GGA
Structure: optimized geometry

Cell: 17.3219 4.4158 6.9906 Å, 90.00 90.00 90.00°
Positions (direct):
Y1 0.1424 0.2500 0.0219
Y2 0.3576 0.7500 0.5219
Y3 0.6424 0.2500 0.4781
Y4 0.8576 0.7500 0.9781
Ga1 0.0392 0.7500 0.8602
Ga2 0.0634 0.2500 0.4646
Ga3 0.1818 0.7500 0.3319
Ga4 0.1866 0.7500 0.7387
Ga5 0.3134 0.2500 0.2387
Ga6 0.3182 0.2500 0.8319
Ga7 0.4366 0.7500 0.9646
Ga8 0.4608 0.2500 0.3602
Ga9 0.5392 0.7500 0.6398
Ga10 0.5634 0.2500 0.0354
Ga11 0.6818 0.7500 0.1681
Ga12 0.6866 0.7500 0.7613
Ga13 0.8134 0.2500 0.2613
Ga14 0.8182 0.2500 0.6681
Ga15 0.9366 0.7500 0.5354
Ga16 0.9608 0.2500 0.1398
Au1 0.0318 0.7500 0.2422
Au2 0.2152 0.2500 0.5413
Au3 0.2848 0.7500 0.0413
Au4 0.4682 0.2500 0.7422
Au5 0.5318 0.7500 0.2578
Au6 0.7152 0.2500 0.9587
Au7 0.7848 0.7500 0.4587
Au8 0.9682 0.2500 0.7578

Crystal system = orthorhombic
Space-group type = Pnma (62)

---

No. 3
Compound: YZnGa3Au
Source: the Alexandria database
Functional: PBE-GGA
Structure: optimized geometry

Cell: 8.7974 8.7974 5.7682 Å, 90.00 90.00 142.90°
Positions (direct):
Y1 0.1722 0.8278 0.7500
Y2 0.8278 0.1722 0.2500
Zn1 0.4023 0.5977 0.2500
Zn2 0.5977 0.4023 0.7500
Ga1 0.2462 0.2462 0.0000
Ga2 0.2462 0.2462 0.5000
Ga3 0.2552 0.7448 0.2500
Ga4 0.7448 0.2552 0.7500
Ga5 0.7538 0.7538 0.0000
Ga6 0.7538 0.7538 0.5000
Au1 0.1065 0.8935 0.2500
Au2 0.8935 0.1065 0.7500

Crystal system = orthorhombic
Space-group type = Cmcm (63)

---

No. 4
Compound: YZnGaAu2
Source: the Alexandria database
Functional: PBE-GGA
Structure: optimized geometry

Cell: 6.9411 6.9411 6.9411 Å, 146.69 146.69 47.82°
Positions (direct):
Y1 0.0000 0.0000 0.0000
Zn1 0.7500 0.2500 0.5000
Ga1 0.2500 0.7500 0.5000
Au1 0.3916 0.3916 0.0000
Au2 0.6084 0.6084 0.0000

Crystal system = tetragonal
Space-group type = I-4m2 (119)

---

Number 1: calculated density 8.60 g/cm³, energy relative to the elements -581 meV/atom, total energy -4.53 eV per atom. Number 2: calculated density 9.46 g/cm³, energy relative to the elements -483 meV/atom, total energy -4.07 eV per atom. Number 3: calculated density 6.91 g/cm³, energy relative to the elements -198 meV/atom, total energy -3.55 eV per atom. Number 4: calculated density 10.22 g/cm³, energy relative to the elements -565 meV/atom, total energy -4.03 eV per atom.